A plane-wave DFT calculation with PBE was carried out for a relaxed Na3Ho2PuTe6 crystal.

The space group is C2/m (No. 12) and the conventional cell measures 7.7071, 13.3506 and 7.9541 Å, with angles of 90.00, 108.85 and 90.00 degrees. The distinct sites, in fractional coordinates, are Na at (0.0000, 0.0000, 0.0000), Na at (0.0000, 0.3348, 0.0000), Ho at (0.0000, 0.1668, 0.5000), Pu at (0.0000, 0.5000, 0.5000), Te at (0.2387, 0.0000, 0.7322) and Te at (0.2469, 0.3307, 0.7324).

For the density of states at the Fermi level, the calculation gives 1.183 states/eV per atom. The calculation puts the total energy at -5.06 eV per atom. For the total moment, the calculation gives 5.0 μB per formula unit. The raw formation energy comes out at -1.205 eV/atom.

=====

A plane-wave DFT calculation with PBE was carried out for a relaxed LaScS2O8 crystal.

The space group is P-3m1 (No. 164) and the conventional cell measures 5.4792, 5.4792 and 6.8376 Å, with angles of 90.00, 90.00 and 120.00 degrees. The distinct sites, in fractional coordinates, are La at (0.0000, 0.0000, 0.0000), Sc at (0.0000, 0.0000, 0.5000), S at (0.3333, 0.6667, 0.2449), O at (0.1669, 0.3338, 0.2924) and O at (0.3333, 0.6667, 0.0260).

For the density of states at the Fermi level, the calculation gives 0.214 states/eV per atom. The calculation puts the total energy at -6.83 eV per atom. For the total moment, the calculation gives 0.0 μB per formula unit. The raw formation energy comes out at -1.894 eV/atom.

=====

A plane-wave DFT calculation with PBE was carried out for a relaxed YTl2GeS4 crystal.

The space group is P2/m (No. 10) and the conventional cell measures 6.8755, 3.8805 and 7.7895 Å, with angles of 90.00, 106.73 and 90.00 degrees. The distinct sites, in fractional coordinates, are Y at (0.0000, 0.0000, 0.0000), Tl at (0.0000, 0.5000, 0.5000), Tl at (0.5000, 0.0000, 0.5000), Ge at (0.5000, 0.5000, 0.0000), S at (0.2459, 0.5000, 0.1940) and S at (0.2807, 0.0000, 0.8088).

For the density of states at the Fermi level, the calculation gives 0.508 states/eV per atom. The calculation puts the total energy at -4.86 eV per atom. For the total moment, the calculation gives 0.0 μB per formula unit. The raw formation energy comes out at -0.820 eV/atom.